1.
This record from Alexandria describes a geometry-optimized ScSi4Ir structure. The functional is GGA-PBE.

As for the electronic total energy: -36.45 eV/f.u.

It has space group F-43m (No. 216), with a = 7.064 Å, b = 7.064 Å, c = 7.064 Å, α = 90.00°, β = 90.00° and γ = 90.00°. The asymmetric unit holds Sc at (0.000, 0.000, 0.000), Si at (0.125, 0.125, 0.625) and Ir at (0.250, 0.250, 0.250).

***

2.
This record from Alexandria describes a geometry-optimized CdRe2Te structure. The functional is GGA-PBE.

As for the electronic total energy: -24.93 eV/f.u. As for the energy relative to the lowest polymorph listed for this composition: 2.50 eV per formula unit.

It has space group F-43m (No. 216), with a = 6.629 Å, b = 6.629 Å, c = 6.629 Å, α = 90.00°, β = 90.00° and γ = 90.00°. The asymmetric unit holds Cd at (0.000, 0.000, 0.000), Re at (0.000, 0.000, 0.500), Re at (0.250, 0.250, 0.750) and Te at (0.250, 0.250, 0.250).

***

3.
This record from Alexandria describes a geometry-optimized BaLi2Si6 structure. The functional is GGA-PBE.

As for the electronic total energy: -39.46 eV/f.u.

It has space group Immm (No. 71), with a = 3.945 Å, b = 8.981 Å, c = 10.457 Å, α = 90.00°, β = 90.00° and γ = 90.00°. The asymmetric unit holds Ba at (0.000, 0.000, 0.000), Li at (0.000, 0.500, 0.145), Si at (0.000, 0.130, 0.500) and Si at (0.000, 0.270, 0.312).

***

4.
This record from Alexandria describes a geometry-optimized InFeSi2 structure. The functional is GGA-PBE.

As for the electronic total energy: -19.52 eV/f.u.

It has space group F-43m (No. 216), with a = 6.315 Å, b = 6.315 Å, c = 6.315 Å, α = 90.00°, β = 90.00° and γ = 90.00°. The asymmetric unit holds In at (0.000, 0.000, 0.000), Fe at (0.250, 0.250, 0.250), Si at (0.000, 0.000, 0.500) and Si at (0.250, 0.250, 0.750).

***

5.
This record from Alexandria describes a geometry-optimized NaLiTc2Te structure. The functional is GGA-PBE.

As for the electronic total energy: -22.15 eV/f.u.

It has space group P4/mmm (No. 123), with a = 4.979 Å, b = 4.979 Å, c = 5.085 Å, α = 90.00°, β = 90.00° and γ = 90.00°. The asymmetric unit holds Na at (0.000, 0.000, 0.000), Li at (0.500, 0.500, 0.000), Tc at (0.000, 0.500, 0.500) and Te at (0.500, 0.500, 0.500).

***

6.
This record from Alexandria describes a geometry-optimized YTc2Br structure. The functional is GGA-PBE.

As for the electronic total energy: -26.01 eV/f.u. As for the energy relative to the lowest polymorph listed for this composition: 3.34 eV per formula unit.

It has space group P4/mmm (No. 123), with a = 3.288 Å, b = 3.288 Å, c = 6.851 Å, α = 90.00°, β = 90.00° and γ = 90.00°. The asymmetric unit holds Y at (0.000, 0.000, 0.000), Tc at (0.500, 0.500, 0.277) and Br at (0.000, 0.000, 0.500).

***

7.
This record from Alexandria describes a geometry-optimized BeHgP2Cl structure. The functional is GGA-PBE.

As for the electronic total energy: -9.56 eV/f.u. As for the energy relative to the lowest polymorph listed for this composition: 4.71 eV per formula unit.

It has space group P4/mmm (No. 123), with a = 4.997 Å, b = 4.997 Å, c = 5.395 Å, α = 90.00°, β = 90.00° and γ = 90.00°. The asymmetric unit holds Be at (0.000, 0.000, 0.000), Hg at (0.500, 0.500, 0.500), P at (0.000, 0.500, 0.500) and Cl at (0.500, 0.500, 0.000).

***

8.
This record from Alexandria describes a geometry-optimized Na2TlBr3 structure. The functional is GGA-PBE.

As for the electronic total energy: -17.80 eV/f.u. As for the energy relative to the lowest polymorph listed for this composition: 0.00 eV per formula unit.

It has space group P2_1/c (No. 14), with a = 6.371 Å, b = 13.289 Å, c = 8.940 Å, α = 90.00°, β = 90.00° and γ = 90.00°. The asymmetric unit holds Na at (0.250, 0.085, 0.113), Na at (0.250, 0.741, 0.124), Tl at (0.251, 0.076, 0.627), Br at (0.249, 0.596, 0.850), Br at (0.250, 0.243, 0.366) and Br at (0.250, 0.595, 0.396).

***

9.
This record from Alexandria describes a geometry-optimized Sb2POs structure. The functional is GGA-PBE.

As for the electronic total energy: -24.39 eV/f.u.

It has space group Cm (No. 8), with a = 7.577 Å, b = 3.663 Å, c = 6.693 Å, α = 90.00°, β = 101.49° and γ = 90.00°. The asymmetric unit holds Sb at (0.000, 0.000, 0.000), Sb at (0.247, 0.500, 0.409), P at (0.073, 0.500, 0.689) and Os at (0.277, 0.000, 0.741).

***

10.
This record from Alexandria describes a geometry-optimized BaMg2Cl structure. The functional is GGA-PBE.

As for the electronic total energy: -9.63 eV/f.u. As for the energy relative to the lowest polymorph listed for this composition: 0.01 eV per formula unit.

It has space group P4mm (No. 99), with a = 3.959 Å, b = 3.959 Å, c = 9.740 Å, α = 90.00°, β = 90.00° and γ = 90.00°. The asymmetric unit holds Ba at (0.000, 0.000, 0.000), Mg at (0.000, 0.000, 0.579), Mg at (0.500, 0.500, 0.715) and Cl at (0.500, 0.500, 0.146).

***

11.
This record from Alexandria describes a geometry-optimized ZnHgN3 structure. The functional is GGA-PBE.

As for the electronic total energy: -13.58 eV/f.u.

It has space group Pm-3m (No. 221), with a = 4.234 Å, b = 4.234 Å, c = 4.234 Å, α = 90.00°, β = 90.00° and γ = 90.00°. The asymmetric unit holds Zn at (0.000, 0.000, 0.000), Hg at (0.500, 0.500, 0.500) and N at (0.000, 0.500, 0.500).

***

12.
This record from Alexandria describes a geometry-optimized Sr4MgCd structure. The functional is GGA-PBE.

As for the electronic total energy: -9.10 eV/f.u. As for the energy relative to the lowest polymorph listed for this composition: 0.93 eV per formula unit.

It has space group Pm (No. 6), with a = 5.831 Å, b = 5.829 Å, c = 8.277 Å, α = 90.00°, β = 90.06° and γ = 90.00°. The asymmetric unit holds Sr at (0.000, 0.000, 0.000), Sr at (0.000, 0.000, 0.486), Sr at (0.499, 0.500, 0.486), Sr at (0.500, 0.500, 0.000), Mg at (0.001, 0.500, 0.743) and Cd at (0.500, 0.000, 0.243).